1.
Material: TlTeAs4
Method: DFT, GGA-PBE
State: relaxed

Output
Electronic total energy: -22.73 eV per formula unit
Space-group type: F-43m (216)

Cell and atoms, written as extended XYZ:
```
6
Lattice="-5.1386 -3.4432 -0.9301 -5.6579 2.5607 0.7462 -3.6271 1.0769 -4.9810" Properties=species:S:1:pos:R:3 pbc="T T T"
As -5.7693 0.0777 -2.0659
As -7.8250 -1.2997 -2.4380
As -7.2203 0.5086 -4.0585
As -8.0327 1.1021 -1.7675
Tl 0.0000 0.0000 0.0000
Te -10.8177 0.1458 -3.8737
```

2.
Material: TlTeAs
Method: DFT, GGA-PBE
State: relaxed

Output
Electronic total energy: -9.51 eV per formula unit
Space-group type: P-6m2 (187)

Cell and atoms, written as extended XYZ:
```
3
Lattice="5.5289 0.0000 0.0000 -2.7644 4.7881 0.0000 0.0000 0.0000 3.0957" Properties=species:S:1:pos:R:3 pbc="T T T"
Tl 0.0000 3.1921 2.0644
Te 2.7644 1.5960 0.5154
As 0.0000 0.0000 0.5158
```

3.
Material: TlTeAs
Method: DFT, GGA-PBE
State: relaxed

Output
Electronic total energy: -9.47 eV per formula unit
Space-group type: I4mm (107)

Cell and atoms, written as extended XYZ:
```
3
Lattice="-2.7836 -6.2452 -7.8644 0.2055 -6.2149 -8.3638 0.2661 -2.6580 1.4314" Properties=species:S:1:pos:R:3 pbc="T T T"
Te -0.6685 -5.8801 -4.3730
As 0.1975 -2.8964 1.0027
Tl -1.5750 -8.9996 -9.9951
```

> Look up the electronic total energy of the third one.

-9.47 eV per formula unit